Below is an optimized crystal structure of ZrZnBH2, with properties calculated at the PBE-GGA level.

Values from the calculation:
VASP energy, eV per atom: -4.166
N(E_F), states/eV/cell: 1.99

a = 3.6790 Å, b = 3.6790 Å, c = 4.7593 Å
α = 90.00°, β = 90.00°, γ = 90.00°
Space group P4/mmm (No. 123)
One atom of each set of equivalent atoms:
Zr (0.0000, 0.0000, 0.0000)
Zn (0.5000, 0.5000, 0.5000)
B (0.0000, 0.0000, 0.5000)
H (0.0000, 0.5000, 0.0000)

---

Below is an optimized crystal structure of Th2Co5Ge3, with properties calculated at the PBE-GGA level.

Values from the calculation:
Calculated formation energy, eV/atom: -0.311
N(E_F), states/eV/cell: 38.18
Energy relative to the lowest polymorph listed for this composition, eV per atom: 0.139

a = 4.0445 Å, b = 24.5562 Å, c = 6.5680 Å
α = 90.00°, β = 90.00°, γ = 90.00°
Space group Cmc2_1 (No. 36)
One atom of each set of equivalent atoms:
Th (0.0000, 0.0105, 0.0000)
Th (0.0000, 0.3214, 0.9996)
Co (0.0000, 0.0980, 0.5982)
Co (0.0000, 0.2116, 0.1840)
Co (0.0000, 0.2152, 0.7850)
Co (0.0000, 0.3706, 0.5190)
Co (0.0000, 0.4350, 0.8436)
Ge (0.0000, 0.1143, 0.2319)
Ge (0.0000, 0.2749, 0.4834)
Ge (0.0000, 0.4335, 0.2274)

---

Below is an optimized crystal structure of Pa3BiTe8, with properties calculated at the PBE-GGA level.

Values from the calculation:
Raw formation energy, eV/atom: -0.639
N(E_F), states/eV/cell: 27.39

a = 8.8343 Å, b = 8.8343 Å, c = 14.2414 Å
α = 90.00°, β = 90.00°, γ = 120.00°
Space group P6_3mc (No. 186)
One atom of each set of equivalent atoms:
Pa (0.1662, 0.3324, 0.0000)
Bi (0.3333, 0.6667, 0.2401)
Te (0.0000, 0.0000, 0.1219)
Te (0.0006, 0.5003, 0.1229)
Te (0.1641, 0.3282, 0.3858)
Te (0.3333, 0.6667, 0.8793)

---

Below is an optimized crystal structure of Ta3InCl, with properties calculated at the PBE-GGA level.

Values from the calculation:
Raw formation energy, eV/atom: 0.825
N(E_F), states/eV/cell: 5.82
Energy relative to the lowest polymorph listed for this composition, eV per atom: 0.000

a = 4.5738 Å, b = 4.5738 Å, c = 4.5738 Å
α = 90.00°, β = 90.00°, γ = 90.00°
Space group Pm-3m (No. 221)
One atom of each set of equivalent atoms:
Ta (0.0000, 0.0000, 0.5000)
In (0.5000, 0.5000, 0.5000)
Cl (0.0000, 0.0000, 0.0000)

---

Below is an optimized crystal structure of Sc2AgPd5, with properties calculated at the PBE-GGA level.

Values from the calculation:
Calculated formation energy, eV/atom: -0.796
N(E_F), states/eV/cell: 3.05

a = 5.6563 Å, b = 11.2984 Å, c = 4.1032 Å
α = 90.00°, β = 90.00°, γ = 90.00°
Space group Pbam (No. 55)
One atom of each set of equivalent atoms:
Sc (0.2255, 0.1321, 0.0000)
Ag (0.0000, 0.5000, 0.5000)
Pd (0.0000, 0.0000, 0.5000)
Pd (0.0210, 0.7501, 0.5000)
Pd (0.2360, 0.3775, 0.0000)

---

Below is an optimized crystal structure of HgRu2S, with properties calculated at the PBE-GGA level.

Values from the calculation:
Raw formation energy, eV/atom: 0.733
N(E_F), states/eV/cell: 12.48
Energy relative to the lowest polymorph listed for this composition, eV per atom: 0.390

a = 6.2977 Å, b = 6.2977 Å, c = 6.2977 Å
α = 90.00°, β = 90.00°, γ = 90.00°
Space group Fm-3m (No. 225)
One atom of each set of equivalent atoms:
Hg (0.0000, 0.0000, 0.0000)
Ru (0.2500, 0.2500, 0.2500)
S (0.0000, 0.0000, 0.5000)

---

Below is an optimized crystal structure of In3TcB, with properties calculated at the PBE-GGA level.

Values from the calculation:
Calculated formation energy, eV/atom: 1.234
N(E_F), states/eV/cell: 3.74
Energy relative to the lowest polymorph listed for this composition, eV per atom: 0.126

a = 5.1866 Å, b = 5.1866 Å, c = 5.1866 Å
α = 90.00°, β = 90.00°, γ = 90.00°
Space group Pm-3m (No. 221)
One atom of each set of equivalent atoms:
In (0.0000, 0.0000, 0.5000)
Tc (0.0000, 0.0000, 0.0000)
B (0.5000, 0.5000, 0.5000)

---

Below is an optimized crystal structure of YTa3Br, with properties calculated at the PBE-GGA level.

Values from the calculation:
Raw formation energy, eV/atom: 2.526
N(E_F), states/eV/cell: 5.53
Energy relative to the lowest polymorph listed for this composition, eV per atom: 1.478

a = 5.0725 Å, b = 5.0725 Å, c = 5.0725 Å
α = 90.00°, β = 90.00°, γ = 90.00°
Space group Pm-3m (No. 221)
One atom of each set of equivalent atoms:
Y (0.0000, 0.0000, 0.0000)
Ta (0.0000, 0.0000, 0.5000)
Br (0.5000, 0.5000, 0.5000)

---

Below is an optimized crystal structure of Nd5Y12Pu, with properties calculated at the PBE-GGA level.

Values from the calculation:
Calculated formation energy, eV/atom: 0.037
N(E_F), states/eV/cell: 60.01

a = 18.6779 Å, b = 10.7574 Å, c = 6.2360 Å
α = 90.00°, β = 109.40°, γ = 90.00°
Space group C2/m (No. 12)
One atom of each set of equivalent atoms:
Nd (0.0000, 0.0000, 0.0000)
Nd (0.1648, 0.5000, 0.3381)
Nd (0.1669, 0.0000, 0.8326)
Y (0.0000, 0.1710, 0.5000)
Y (0.0000, 0.3359, 0.0000)
Y (0.1648, 0.3342, 0.8313)
Y (0.1669, 0.1672, 0.3324)
Pu (0.0000, 0.5000, 0.5000)

---

Below is an optimized crystal structure of KAc2P, with properties calculated at the PBE-GGA level.

Values from the calculation:
Calculated formation energy, eV/atom: -0.562
N(E_F), states/eV/cell: 12.41
Energy relative to the lowest polymorph listed for this composition, eV per atom: 0.000

a = 4.2443 Å, b = 4.2443 Å, c = 35.9980 Å
α = 90.00°, β = 90.00°, γ = 120.00°
Space group R-3m (No. 166, hexagonal axes)
One atom of each set of equivalent atoms:
K (0.0000, 0.0000, 0.0000)
Ac (0.0000, 0.0000, 0.1185)
P (0.0000, 0.0000, 0.5000)

---

Below is an optimized crystal structure of CsRbZnHg, with properties calculated at the PBE-GGA level.

Values from the calculation:
Calculated formation energy, eV/atom: 0.029
N(E_F), states/eV/cell: 17.75

a = 9.0501 Å, b = 9.0501 Å, c = 9.0501 Å
α = 90.00°, β = 90.00°, γ = 90.00°
Space group F-43m (No. 216)
One atom of each set of equivalent atoms:
Cs (0.0000, 0.0000, 0.0000)
Rb (0.0000, 0.0000, 0.5000)
Zn (0.2500, 0.2500, 0.7500)
Hg (0.2500, 0.2500, 0.2500)

---

Below is an optimized crystal structure of Ta2AgAu, with properties calculated at the PBE-GGA level.

Values from the calculation:
Calculated formation energy, eV/atom: 0.180
N(E_F), states/eV/cell: 14.60
Energy relative to the lowest polymorph listed for this composition, eV per atom: 0.160

a = 2.9099 Å, b = 2.9099 Å, c = 29.6707 Å
α = 90.00°, β = 90.00°, γ = 120.00°
Space group R3m (No. 160, hexagonal axes)
One atom of each set of equivalent atoms:
Ta (0.0000, 0.0000, 0.0000)
Ta (0.0000, 0.0000, 0.2466)
Ag (0.0000, 0.0000, 0.4965)
Au (0.0000, 0.0000, 0.7467)

---

Below is an optimized crystal structure of BaTa, with properties calculated at the PBE-GGA level.

Values from the calculation:
Calculated formation energy, eV/atom: 1.258
N(E_F), states/eV/cell: 16.76
Energy relative to the lowest polymorph listed for this composition, eV per atom: 0.739

a = 4.9754 Å, b = 24.5762 Å, c = 3.2634 Å
α = 90.00°, β = 90.00°, γ = 90.00°
Space group Pmmn (No. 59, origin choice 2)
One atom of each set of equivalent atoms:
Ba (0.2500, 0.1150, 0.0872)
Ba (0.2500, 0.7500, 0.8919)
Ta (0.2500, 0.2500, 0.6029)
Ta (0.2500, 0.5094, 0.6417)

---

Below is an optimized crystal structure of Pr2SmEr6, with properties calculated at the PBE-GGA level.

Values from the calculation:
Calculated formation energy, eV/atom: 0.204
N(E_F), states/eV/cell: 47.90
Energy relative to the lowest polymorph listed for this composition, eV per atom: 0.095

a = 14.1537 Å, b = 14.1126 Å, c = 6.4233 Å
α = 90.00°, β = 114.27°, γ = 90.00°
Space group C2/c (No. 15)
One atom of each set of equivalent atoms:
Pr (0.1477, 0.0387, 0.4597)
Sm (0.0000, 0.3664, 0.2500)
Er (0.0558, 0.1862, 0.0197)
Er (0.1267, 0.4286, 0.9436)
Er (0.2052, 0.2561, 0.7023)